1.
Computed, not measured: a PBEsol-optimized structure of CaOsN2F at the meta-GGA SCAN level of DFT.

abc: 3.813 3.813 4.466
angles: 90.00 90.00 90.00
Sites, in units of the cell vectors:
Ca1 0.500 0.500 0.500
N1 0.500 0.000 0.000
Os1 0.000 0.000 0.000
N2 0.000 0.500 0.000
F1 0.000 0.000 0.500

## Properties
**E above lowest polymorph**: 0.000 eV per atom
**Formation energy (no corrections)**: -0.7076 eV per atom
**Calculated volume**: 12.98 Å³/atom
**E**: -107.2 eV/f.u.
**Size of the total moment**: 0.000 μB per atom


2.
Computed, not measured: a PBEsol-optimized structure of NiAuN2 at the meta-GGA SCAN level of DFT.

abc: 3.813 3.813 3.813
angles: 60.00 60.00 60.00
Sites, in units of the cell vectors:
N1 0.750 0.750 0.750
Ni1 0.000 0.000 0.000
Au1 0.500 0.500 0.500
N2 0.250 0.250 0.250

## Properties
**Formation energy (no corrections)**: 1.7201 eV per atom
**Calculated volume**: 9.80 Å³/atom
**E**: -97.0 eV/f.u.
**Size of the total moment**: 0.000 μB per atom


3.
Computed, not measured: a PBEsol-optimized structure of TaIn3Co at the meta-GGA SCAN level of DFT.

abc: 5.261 5.261 5.261
angles: 90.00 90.00 90.00
Sites, in units of the cell vectors:
In1 0.500 0.000 0.000
Co1 0.500 0.500 0.500
In2 0.000 0.500 0.000
In3 0.000 0.000 0.500
Ta1 0.000 0.000 0.000

## Properties
**Calculated volume**: 29.13 Å³/atom
**Energy of formation**: 6.24 eV/f.u.
**E**: -177.8 eV/f.u.
**Size of the total moment**: 0.528 μB per atom


4.
Computed, not measured: a PBEsol-optimized structure of RbHNO2 at the meta-GGA SCAN level of DFT.

abc: 5.353 5.353 6.452
angles: 90.00 90.00 90.00
Sites, in units of the cell vectors:
O1 0.000 0.500 0.000
H1 0.500 0.500 0.500
Rb1 0.000 0.000 0.000
N1 0.000 0.000 0.500
O2 0.500 0.000 0.000

## Properties
**Calculated volume**: 36.98 Å³/atom
**E**: -37.7 eV/f.u.
**Size of the total moment**: 1.400 μB per atom